The following is a PBE-GGA calculation of an optimized crystal structure of La6NdY5, from Alexandria via LeMat-Bulk.

Uncorrected energy   -66.4 eV for the cell shown
Formation enthalpy at 0 K   0.017 eV per atom
DOS(E_F)   17.4 states/eV/f.u.

abc: 6.2783 7.4218 9.7101
angles: 112.37 91.68 90.05
Sites, in units of the cell vectors:
La1 0.9997 0.2492 0.9999
La2 0.0003 0.7508 0.0001
La3 0.3315 0.5839 0.6661
La4 0.3316 0.0825 0.6661
La5 0.6684 0.9175 0.3339
La6 0.6685 0.4161 0.3339
Nd1 0.5000 0.0000 0.0000
Y1 0.1676 0.1671 0.3344
Y2 0.1678 0.6665 0.3331
Y3 0.5000 0.5000 0.0000
Y4 0.8322 0.3335 0.6669
Y5 0.8324 0.8329 0.6656